No. 1
Computed, not measured: LiNbTeO after structural relaxation at the PBE-GGA level of DFT.

VASP energy = -24.07 eV per formula unit
Excess energy over the best structure of this formula in the dataset = 281 meV/atom

abc: 3.735 3.735 9.025
angles: 90.00 90.00 90.00
Fractional coordinates of all 8 atoms:
1 Li 0.750 0.250 0.500
2 Li 0.250 0.750 0.500
3 Nb 0.250 0.250 0.128
4 Nb 0.750 0.750 0.872
5 O 0.750 0.250 0.000
6 O 0.250 0.750 0.000
7 Te 0.750 0.750 0.286
8 Te 0.250 0.250 0.714

---

No. 2
Computed, not measured: Ni5W7 after structural relaxation at the PBE-GGA level of DFT.

VASP energy = -115.90 eV per formula unit
Formation energy = 257 kJ/mol of formula units
Excess energy over the best structure of this formula in the dataset = 0 meV/atom

abc: 4.953 4.953 15.897
angles: 90.00 90.00 120.00
Fractional coordinates of all 24 atoms:
1 Ni 0.500 0.000 0.000
2 Ni 0.000 0.500 0.000
3 Ni 0.500 0.500 0.000
4 Ni 0.333 0.667 0.119
5 Ni 0.333 0.667 0.381
6 Ni 0.500 0.000 0.500
7 Ni 0.000 0.500 0.500
8 Ni 0.500 0.500 0.500
9 Ni 0.667 0.333 0.619
10 Ni 0.667 0.333 0.881
11 W 0.000 0.000 0.086
12 W 0.667 0.333 0.149
13 W 0.165 0.330 0.250
14 W 0.165 0.835 0.250
15 W 0.670 0.835 0.250
16 W 0.667 0.333 0.351
17 W 0.000 0.000 0.414
18 W 0.000 0.000 0.586
19 W 0.333 0.667 0.649
20 W 0.330 0.165 0.750
21 W 0.835 0.165 0.750
22 W 0.835 0.670 0.750
23 W 0.333 0.667 0.851
24 W 0.000 0.000 0.914

---

No. 3
Computed, not measured: CdSiAg2 after structural relaxation at the PBE-GGA level of DFT.

VASP energy = -10.92 eV per formula unit

abc: 4.719 4.719 4.719
angles: 60.00 60.00 60.00
Fractional coordinates of all 4 atoms:
1 Ag 0.000 0.000 0.000
2 Ag 0.750 0.750 0.750
3 Cd 0.250 0.250 0.250
4 Si 0.500 0.500 0.500

---

No. 4
Computed, not measured: Ta2Re2O5 after structural relaxation at the PBE-GGA level of DFT.

VASP energy = -81.17 eV per formula unit
Excess energy over the best structure of this formula in the dataset = 0 meV/atom

abc: 8.901 3.266 3.266
angles: 90.00 90.00 90.00
Fractional coordinates of all 9 atoms:
1 O 0.319 0.500 0.000
2 O 0.681 0.500 0.000
3 O 0.319 0.000 0.500
4 O 0.681 0.000 0.500
5 O 0.500 0.500 0.500
6 Re 0.177 0.500 0.500
7 Re 0.823 0.500 0.500
8 Ta 0.000 0.000 0.000
9 Ta 0.500 0.000 0.000

---

No. 5
Computed, not measured: GeSbMo4N2 after structural relaxation at the PBE-GGA level of DFT.

VASP energy = -68.88 eV per formula unit

abc: 3.290 3.290 12.212
angles: 90.00 90.00 120.00
Fractional coordinates of all 8 atoms:
1 Ge 0.667 0.333 0.000
2 Mo 0.000 0.000 0.155
3 Mo 0.667 0.333 0.317
4 Mo 0.667 0.333 0.683
5 Mo 0.000 0.000 0.845
6 N 0.333 0.667 0.248
7 N 0.333 0.667 0.752
8 Sb 0.000 0.000 0.500

---

No. 6
Computed, not measured: DySe2 after structural relaxation at the PBE-GGA level of DFT.

VASP energy = -12.02 eV per formula unit

abc: 5.830 5.830 5.830
angles: 60.00 60.00 60.00
Site moments in Bohr magnetons follow the coordinates.
Fractional coordinates of all 6 atoms:
1 Dy 0.000 0.000 0.000  0.20
2 Dy 0.250 0.250 0.250  0.20
3 Se 0.625 0.625 0.125  -0.01
4 Se 0.625 0.125 0.625  0.00
5 Se 0.125 0.625 0.625  0.00
6 Se 0.625 0.625 0.625  0.00

---

No. 7
Computed, not measured: ScPd2W after structural relaxation at the PBE-GGA level of DFT.

VASP energy = -29.60 eV per formula unit
Formation energy = 4 kJ/mol of formula units

abc: 4.515 4.515 4.515
angles: 60.00 60.00 60.00
Fractional coordinates of all 4 atoms:
1 Pd 0.000 0.000 0.000
2 Pd 0.750 0.750 0.750
3 Sc 0.250 0.250 0.250
4 W 0.500 0.500 0.500

---

No. 8
Computed, not measured: Lu4ZnSbN2 after structural relaxation at the PBE-GGA level of DFT.

VASP energy = -48.80 eV per formula unit

abc: 3.448 3.448 14.379
angles: 90.00 90.00 120.00
Fractional coordinates of all 8 atoms:
1 Lu 0.667 0.333 0.166
2 Lu 0.000 0.000 0.345
3 Lu 0.000 0.000 0.655
4 Lu 0.667 0.333 0.834
5 N 0.333 0.667 0.249
6 N 0.333 0.667 0.751
7 Sb 0.000 0.000 0.000
8 Zn 0.667 0.333 0.500

---

No. 9
Computed, not measured: ZrNbNiAs after structural relaxation at the PBE-GGA level of DFT.

VASP energy = -28.55 eV per formula unit

abc: 4.537 4.537 4.537
angles: 60.00 60.00 60.00
Fractional coordinates of all 4 atoms:
1 As 0.000 0.000 0.000
2 Nb 0.250 0.250 0.250
3 Ni 0.750 0.750 0.750
4 Zr 0.500 0.500 0.500

---

No. 10
Computed, not measured: Er3Mg3ZnIr2 after structural relaxation at the PBE-GGA level of DFT.

VASP energy = -42.20 eV per formula unit

abc: 7.313 7.313 4.023
angles: 90.00 90.00 120.00
Fractional coordinates of all 9 atoms:
1 Er 0.580 0.000 0.000
2 Er 0.420 0.420 0.000
3 Er 0.000 0.580 0.000
4 Ir 0.667 0.333 0.500
5 Ir 0.333 0.667 0.500
6 Mg 0.250 0.000 0.500
7 Mg 0.000 0.250 0.500
8 Mg 0.750 0.750 0.500
9 Zn 0.000 0.000 0.000

---

No. 11
Computed, not measured: CdGa2Se4 after structural relaxation at the PBE-GGA level of DFT.

VASP energy = -25.30 eV per formula unit

abc: 6.854 6.854 5.823
angles: 115.10 115.10 105.93
Fractional coordinates of all 7 atoms:
1 Cd 0.000 0.000 0.000
2 Ga 0.500 0.500 0.000
3 Ga 0.250 0.750 0.500
4 Se 0.601 0.880 0.016
5 Se 0.864 0.586 0.467
6 Se 0.414 0.136 0.533
7 Se 0.120 0.399 0.984

---

No. 12
Computed, not measured: HoGa2FeIr4 after structural relaxation at the PBE-GGA level of DFT.

VASP energy = -57.87 eV per formula unit

abc: 4.229 4.229 6.870
angles: 90.00 90.00 90.00
Site moments in Bohr magnetons follow the coordinates.
Fractional coordinates of all 8 atoms:
1 Fe 0.000 0.000 0.500  2.98
2 Ga 0.000 0.000 0.000  -0.01
3 Ga 0.500 0.500 0.500  0.00
4 Ho 0.500 0.500 0.000  -0.06
5 Ir 0.500 0.000 0.278  0.23
6 Ir 0.000 0.500 0.278  0.20
7 Ir 0.500 0.000 0.722  0.23
8 Ir 0.000 0.500 0.722  0.20